Li2CoPb (GGA-PBE, relaxed); ΔE_f = 259 meV/atom; D(E_F) = 0.7387 states/eV/atom; VASP energy = -13.6 eV per formula unit; space-group type = No. 122
1.0
3.7584 0.0000 0.0000
0.0000 3.7584 0.0000
1.8792 1.8792 9.7867
Pb Co Li
2 2 4
Direct
0.0000 0.0000 0.0000
0.7500 0.2500 0.5000
0.5000 0.5000 0.0000
0.2500 0.7500 0.5000
0.6031 0.1250 0.2500
0.1469 0.6250 0.2500
0.3750 0.3969 0.7500
0.8750 0.8531 0.7500